Record 1
VASP calculation (PBE-GGA) on an optimized crystal structure of Sc2TaSi.

abc: 3.380 3.380 6.636
angles: 90.00 90.00 90.00
Positions (direct):
Si1 0.500 0.500 0.250
Sc1 0.000 0.000 0.481
Ta1 0.500 0.500 0.750
Sc2 0.000 0.000 0.019

Summary:
raw formation energy: -0.159 eV/atom
SG: No. 123
density of states at the Fermi level: 1.092 states/eV/atom
E: -7.64 eV/atom

=====

Record 2
VASP calculation (PBE-GGA) on an optimized crystal structure of ScTaSi.

abc: 5.218 5.219 5.219
angles: 142.03 142.03 54.78
Positions (direct):
Ta1 0.314 0.314 0.000
Si1 0.683 0.683 0.000
Sc1 0.004 0.004 0.000

Summary:
raw formation energy: -0.291 eV/atom
SG: No. 107
density of states at the Fermi level: 0.431 states/eV/atom
E: -8.16 eV/atom

=====

Record 3
VASP calculation (PBE-GGA) on an optimized crystal structure of Sc2TaSi.

abc: 5.473 5.473 5.052
angles: 74.50 74.50 32.00
Positions (direct):
Sc1 0.775 0.775 0.697
Sc2 0.985 0.985 0.036
Ta1 0.222 0.222 0.243
Si1 0.519 0.519 0.523

Summary:
raw formation energy: -0.170 eV/atom
SG: No. 8
density of states at the Fermi level: 1.089 states/eV/atom
E: -7.66 eV/atom

=====

Record 4
VASP calculation (PBE-GGA) on an optimized crystal structure of Sc2TaSi.

abc: 9.633 9.633 9.633
angles: 18.57 18.57 18.57
Last column: magnetic moment on the atom in μB.
Positions (direct):
Si1 0.497 0.497 0.497  0.00
Sc1 0.005 0.005 0.005  0.08
Ta1 0.758 0.758 0.758  0.04
Sc2 0.241 0.241 0.241  0.38

Summary:
raw formation energy: -0.004 eV/atom
SG: No. 160
density of states at the Fermi level: 1.231 states/eV/atom
E: -7.49 eV/atom

=====

Record 5
VASP calculation (PBE-GGA) on an optimized crystal structure of ScTa3Si.

abc: 4.697 4.697 4.697
angles: 90.00 90.00 90.00
Positions (direct):
Ta1 0.000 0.500 0.000
Si1 0.500 0.500 0.500
Ta2 0.000 0.000 0.500
Sc1 0.000 0.000 0.000
Ta3 0.500 0.000 0.000

Summary:
raw formation energy: 1.989 eV/atom
SG: No. 221
density of states at the Fermi level: 0.783 states/eV/atom
E: -7.47 eV/atom

=====

Record 6
VASP calculation (PBE-GGA) on an optimized crystal structure of ScTaSi2.

abc: 3.612 3.169 6.283
angles: 71.38 90.00 90.00
Positions (direct):
Sc1 0.500 0.750 0.750
Si1 0.000 0.928 0.037
Si2 0.000 0.572 0.463
Ta1 0.500 0.250 0.250

Summary:
raw formation energy: -0.387 eV/atom
SG: No. 10
density of states at the Fermi level: 0.466 states/eV/atom
E: -7.64 eV/atom

=====

Record 7
VASP calculation (PBE-GGA) on an optimized crystal structure of Sc2Ta3Si4.

abc: 6.708 6.883 6.895
angles: 90.00 90.00 108.84
Positions (direct):
Si1 0.640 0.920 0.030
Sc1 0.563 0.186 0.330
Si2 0.860 0.080 0.530
Ta1 0.000 0.500 0.500
Ta2 0.746 0.253 0.820
Sc2 0.063 0.186 0.170
Si3 0.370 0.484 0.373
Ta3 0.246 0.253 0.680
Si4 0.140 0.920 0.470
Si5 0.870 0.484 0.127
Si6 0.630 0.516 0.627
Ta4 0.754 0.747 0.320
Sc3 0.937 0.814 0.830
Ta5 0.254 0.747 0.180
Sc4 0.437 0.814 0.670
Si7 0.360 0.080 0.970
Ta6 0.500 0.500 0.000
Si8 0.130 0.516 0.873

Summary:
raw formation energy: -0.779 eV/atom
SG: No. 14
density of states at the Fermi level: 0.405 states/eV/atom
E: -8.55 eV/atom

=====

Record 8
VASP calculation (PBE-GGA) on an optimized crystal structure of ScTaSi3.

abc: 4.798 4.798 4.798
angles: 90.00 90.00 90.00
Positions (direct):
Si1 0.000 0.500 0.000
Si2 0.500 0.000 0.000
Sc1 0.500 0.500 0.500
Ta1 0.000 0.000 0.000
Si3 0.000 0.000 0.500

Summary:
raw formation energy: 0.416 eV/atom
SG: No. 221
density of states at the Fermi level: 0.713 states/eV/atom
E: -6.47 eV/atom

=====

Record 9
VASP calculation (PBE-GGA) on an optimized crystal structure of ScTaSi2.

abc: 7.065 7.065 5.764
angles: 52.20 52.20 90.00
Positions (direct):
Si1 0.875 0.886 0.750
Ta1 0.000 0.000 0.000
Sc1 0.500 0.500 0.000
Si2 0.375 0.364 0.750
Si3 0.636 0.125 0.250
Si4 0.114 0.625 0.250
Ta2 0.750 0.250 0.500
Sc2 0.250 0.750 0.500

Summary:
raw formation energy: -0.142 eV/atom
SG: No. 122
density of states at the Fermi level: 0.089 states/eV/atom
E: -7.40 eV/atom

=====

Record 10
VASP calculation (PBE-GGA) on an optimized crystal structure of ScTaSi2.

abc: 3.612 3.612 5.314
angles: 90.00 90.00 90.00
Positions (direct):
Si1 0.500 0.500 0.281
Ta1 0.000 0.000 0.471
Sc1 0.500 0.500 0.773
Si2 0.000 0.000 0.975

Summary:
raw formation energy: -0.251 eV/atom
SG: No. 99
density of states at the Fermi level: 0.582 states/eV/atom
E: -7.51 eV/atom

=====

Record 11
VASP calculation (PBE-GGA) on an optimized crystal structure of Sc2TaSi.

abc: 3.000 3.000 8.723
angles: 90.00 90.00 97.41
Positions (direct):
Si1 0.000 0.000 0.512
Sc1 0.500 0.500 0.296
Ta1 0.500 0.500 0.714
Sc2 0.000 0.000 0.978

Summary:
raw formation energy: -0.140 eV/atom
SG: No. 35
density of states at the Fermi level: 0.937 states/eV/atom
E: -7.62 eV/atom

=====

Record 12
VASP calculation (PBE-GGA) on an optimized crystal structure of Sc2TaSi.

abc: 4.626 3.113 5.626
angles: 74.03 90.00 90.00
Positions (direct):
Ta1 0.500 0.561 0.755
Sc1 0.000 0.962 0.953
Si1 0.000 0.690 0.493
Sc2 0.500 0.287 0.299

Summary:
raw formation energy: -0.164 eV/atom
SG: No. 6
density of states at the Fermi level: 1.020 states/eV/atom
E: -7.65 eV/atom